[1]
Below is a geometry-optimized Li4HgIr structure, with properties calculated at the PBE-GGA level.

VASP energy   -2.81 eV/atom
Crystal system   cubic
Formation energy   -0.0054 eV per atom
Spin magnetization   0.0 μB per cell
Space-group type   F-43m (216)

Cell lengths 4.9080, 4.9080, 4.9080 Å; angles 60.00, 60.00, 60.00 degrees
Last column: nearest neighbours and their distance in Å.
Fractional positions:
Li 0.3728 0.8816 0.3728  6 Li 2.41-2.50
Li 0.8816 0.3728 0.3728  6 Li 2.41-2.50
Li 0.3728 0.3728 0.8816  6 Li 2.41-2.50
Li 0.3728 0.3728 0.3728  6 Li 2.41-2.50
Hg 0.7500 0.7500 0.7500  12 Li 2.88, 4 Ir 3.01
Ir 0.0000 0.0000 0.0000  12 Li 2.87, 4 Hg 3.01


[2]
Below is a geometry-optimized Pm7Sm3Er structure, with properties calculated at the PBE-GGA level.

VASP energy   -4.55 eV/atom
Crystal system   trigonal
Formation energy   0.1724 eV per atom
Spin magnetization   0.0 μB per cell
Space-group type   P3m1 (156)

Cell lengths 8.7451, 7.1949, 7.1949 Å; angles 120.00, 90.00, 90.00 degrees
Last column: nearest neighbours and their distance in Å.
Fractional positions:
Pm 0.1151 0.1673 0.8327  1 Er 3.54, 2 Sm 3.57, 8 Pm 3.58-3.61
Pm 0.1151 0.1673 0.3347  1 Er 3.54, 2 Sm 3.57, 8 Pm 3.58-3.61
Pm 0.1229 0.6667 0.3333  9 Pm 3.55-3.60, 3 Sm 3.64
Pm 0.4522 0.8328 0.1672  7 Pm 3.55-3.61, 2 Sm 3.55, 2 Er 3.60
Pm 0.4522 0.3343 0.1672  7 Pm 3.55-3.61, 2 Sm 3.55, 2 Er 3.60
Pm 0.4522 0.8328 0.6657  7 Pm 3.55-3.61, 2 Sm 3.55, 2 Er 3.60
Pm 0.1151 0.6653 0.8327  1 Er 3.54, 2 Sm 3.57, 8 Pm 3.58-3.61
Sm 0.7820 0.4996 0.5004  5 Pm 3.55-3.64, 4 Sm 3.59-3.61, 1 Er 3.61
Sm 0.7820 0.4996 0.9991  5 Pm 3.55-3.64, 4 Sm 3.59-3.61, 1 Er 3.61
Sm 0.7820 0.0009 0.5004  5 Pm 3.55-3.64, 4 Sm 3.59-3.61, 1 Er 3.61
Er 0.4441 0.3333 0.6667  9 Pm 3.54-3.60, 3 Sm 3.61


[3]
Below is a geometry-optimized Sm4Dy3TmTe8 structure, with properties calculated at the PBE-GGA level.

VASP energy   -5.21 eV/atom
Crystal system   trigonal
Spin magnetization   0.0 μB per cell
Formation energy (no corrections)   -1.316 eV per atom
Space-group type   R-3m (166)

Cell lengths 8.7212, 8.8524, 8.7214 Å; angles 119.51, 120.00, 90.00 degrees
Last column: nearest neighbours and their distance in Å.
Fractional positions:
Sm 0.5000 0.0000 0.0000  6 Te 3.16
Sm 0.5000 0.0000 0.5000  6 Te 3.14
Sm 0.0000 0.0000 0.0000  6 Te 3.14
Sm 0.0000 0.0000 0.5000  6 Te 3.14
Dy 0.5000 0.5000 0.0000  6 Te 3.07
Dy 0.5000 0.5000 0.5000  6 Te 3.07
Dy 0.0000 0.5000 0.5000  6 Te 3.07
Tm 0.0000 0.5000 0.0000  6 Te 3.05
Te 0.2456 0.7402 0.9947  1 Tm 3.05, 2 Dy 3.07, 3 Sm 3.14-3.16
Te 0.2455 0.7402 0.4911  1 Tm 3.05, 2 Dy 3.07, 3 Sm 3.14-3.16
Te 0.2527 0.2580 0.5054  3 Dy 3.07, 3 Sm 3.14
Te 0.7491 0.7402 0.9947  1 Tm 3.05, 2 Dy 3.07, 3 Sm 3.14-3.16
Te 0.2509 0.2598 0.0053  1 Tm 3.05, 2 Dy 3.07, 3 Sm 3.14-3.16
Te 0.7473 0.7420 0.4946  3 Dy 3.07, 3 Sm 3.14
Te 0.7545 0.2598 0.5089  1 Tm 3.05, 2 Dy 3.07, 3 Sm 3.14-3.16
Te 0.7544 0.2598 0.0053  1 Tm 3.05, 2 Dy 3.07, 3 Sm 3.14-3.16


[4]
Below is a geometry-optimized NdMgCuTe3 structure, with properties calculated at the PBE-GGA level.

VASP energy   -4.22 eV/atom
Crystal system   monoclinic
Spin magnetization   0.0 μB per cell
Formation energy (no corrections)   -0.905 eV per atom
Space-group type   P2_1/m (11)

Cell lengths 4.2237, 8.6291, 9.3938 Å; angles 101.33, 90.00, 90.00 degrees
Last column: nearest neighbours and their distance in Å.
Fractional positions:
Nd 0.2500 0.1735 0.2526  6 Te 3.20-3.26, 1 Cu 3.30
Nd 0.7500 0.8265 0.7474  6 Te 3.20-3.26, 1 Cu 3.30
Mg 0.2500 0.6558 0.1561  6 Te 2.88-3.01
Mg 0.7500 0.3442 0.8439  6 Te 2.88-3.01
Cu 0.2500 0.0653 0.5706  2 Cu 2.63, 4 Te 2.65-2.71
Cu 0.7500 0.9347 0.4294  2 Cu 2.63, 4 Te 2.65-2.71
Te 0.7500 0.8995 0.1378  1 Cu 2.70, 2 Mg 3.01
Te 0.2500 0.1005 0.8622  1 Cu 2.70, 2 Mg 3.01
Te 0.2500 0.7545 0.4780  3 Cu 2.65-2.71
Te 0.7500 0.2455 0.5220  3 Cu 2.65-2.71
Te 0.7500 0.4150 0.1563  3 Mg 2.88-2.96, 2 Nd 3.22
Te 0.2500 0.5850 0.8437  3 Mg 2.88-2.96, 2 Nd 3.22


[5]
Below is a geometry-optimized Cs2SrBr4 structure, with properties calculated at the PBE-GGA level.

VASP energy   -3.39 eV/atom
Crystal system   orthorhombic
Spin magnetization   0.0 μB per cell
Formation energy (no corrections)   -1.950 eV per atom
Space-group type   Pbam (55)

Cell lengths 4.8558, 8.9972, 14.5300 Å; angles 90.00, 90.00, 90.00 degrees
Last column: nearest neighbours and their distance in Å.
Fractional positions:
Cs 0.5000 0.9258 0.8216  6 Br 3.59-3.84
Cs 0.5000 0.0742 0.1784  6 Br 3.59-3.84
Cs 0.5000 0.4258 0.6784  6 Br 3.59-3.84
Cs 0.5000 0.5742 0.3216  6 Br 3.59-3.84
Sr 0.0000 0.0000 0.5000  6 Br 3.03-3.16
Sr 0.0000 0.5000 0.0000  6 Br 3.03-3.16
Br 0.0000 0.6325 0.8085  1 Sr 3.03
Br 0.0000 0.3675 0.1915  1 Sr 3.03
Br 0.0000 0.1325 0.6915  1 Sr 3.03
Br 0.0000 0.8675 0.3085  1 Sr 3.03
Br 0.5000 0.7901 0.5499  2 Sr 3.16
Br 0.5000 0.2099 0.4501  2 Sr 3.16
Br 0.5000 0.7099 0.0499  2 Sr 3.16
Br 0.5000 0.2901 0.9501  2 Sr 3.16